[1]
CsPt3Pb | PBE | relaxed

Properties
Energy relative to the elements = 1.67 eV per atom
Energy relative to the lowest polymorph listed for this composition = 0.996 eV per atom
VASP energy = -2.87 eV/atom

```
CsPt3Pb
1.0
5.255 0.000 0.000
0.000 5.255 0.000
0.000 0.000 5.255
Pb Cs Pt
1 1 3
Cartesian
2.627 2.627 2.627
0.000 0.000 0.000
0.000 2.627 0.000
0.000 0.000 2.627
2.627 0.000 0.000
```


[2]
Tb3SbSe | PBE | relaxed

Properties
Energy relative to the lowest polymorph listed for this composition = 0.289 eV per atom
Formation energy (no corrections) = -0.881 eV per atom
VASP energy = -5.18 eV/atom

```
Tb3SbSe
1.0
4.219 0.000 0.000
0.000 7.018 -0.751
0.000 -4.204 11.205
Tb Sb Se
6 2 2
Cartesian
1.055 -2.191 10.211
3.165 5.004 0.243
1.055 -0.433 4.592
3.165 3.247 5.862
1.055 0.769 8.096
3.165 2.045 2.357
1.055 0.094 1.579
3.165 2.719 8.874
1.055 -1.864 7.188
3.165 4.678 3.266
```


[3]
MgCdSiO4 | PBE | relaxed

Properties
Formation energy (no corrections) = -2.258 eV per atom
VASP energy = -6.22 eV/atom

```
MgCdSiO4
1.0
5.418 0.044 0.000
-2.136 4.979 0.000
0.000 0.000 6.351
Mg Cd Si O
2 2 2 8
Cartesian
4.241 0.813 1.588
-0.959 4.210 4.763
1.641 2.511 3.175
1.641 2.511 0.000
-1.045 4.266 1.588
4.326 0.757 4.763
0.521 1.185 4.763
2.406 4.070 4.763
3.569 1.252 6.125
3.569 1.252 3.401
-0.287 3.771 0.225
-0.287 3.771 2.950
2.761 3.838 1.588
0.876 0.953 1.588
```


[4]
ReTc2W | PBE | relaxed

Properties
Energy relative to the elements = 0.12 eV per atom
Energy relative to the lowest polymorph listed for this composition = 0.009 eV per atom
VASP energy = -11.41 eV/atom

```
ReTc2W
1.0
2.779 0.000 0.000
0.000 2.779 0.000
0.000 0.000 7.866
Re Tc W
1 2 1
Cartesian
1.389 1.389 5.900
0.000 0.000 7.795
0.000 0.000 4.005
1.389 1.389 1.967
```


[5]
TbHoZr2 | PBE | relaxed

Properties
Energy relative to the elements = 0.12 eV per atom
Energy relative to the lowest polymorph listed for this composition = 0.041 eV per atom
VASP energy = -6.45 eV/atom

```
TbHoZr2
1.0
-3.157 1.082 -0.096
-1.647 0.088 -2.903
-5.161 -9.848 0.711
Tb Ho Zr
1 1 2
Cartesian
-4.983 -4.339 -1.144
0.000 0.000 0.000
-7.477 -6.517 -1.715
-2.489 -2.162 -0.573
```


[6]
ZrFeSe2 | PBE | relaxed

Properties
Energy relative to the lowest polymorph listed for this composition = 0.154 eV per atom
Formation energy (no corrections) = -0.524 eV per atom
VASP energy = -6.52 eV/atom

```
ZrFeSe2
1.0
3.389 0.000 0.000
0.000 3.414 0.005
0.000 0.115 6.756
Fe Se Zr
1 2 1
Cartesian
1.695 2.647 5.071
0.000 2.586 0.147
0.000 2.592 3.239
1.695 0.882 1.690
```


[7]
TaSiTc2 | PBE | relaxed

Properties
Formation energy (no corrections) = -0.020 eV per atom
VASP energy = -9.52 eV/atom

```
TaSiTc2
1.0
4.389 0.000 0.000
2.195 3.801 0.000
2.195 1.267 3.584
Si Ta Tc
1 1 2
Cartesian
4.389 2.534 1.792
6.584 3.801 2.688
0.000 0.000 0.000
2.195 1.267 0.896
```


[8]
VGaFe6 | PBE | relaxed

Properties
Energy relative to the elements = 0.25 eV per atom
Energy relative to the lowest polymorph listed for this composition = 0.353 eV per atom
VASP energy = -7.62 eV/atom

```
VGaFe6
1.0
-1.647 -3.897 0.804
1.639 -1.527 3.678
-4.623 1.199 4.297
V Ga Fe
1 1 6
Cartesian
0.000 0.000 0.000
-2.315 -2.112 4.390
-0.602 -0.697 3.254
-2.126 -1.796 1.921
-2.505 -2.429 6.858
-4.028 -3.528 5.525
-4.293 -0.834 5.596
-0.338 -3.391 3.183
```